## CaSmDy2 (GGA-PBE)

Data for an optimized crystal structure of CaSmDy2.

a b c (Å): 5.1671 5.1030 5.1030
angles (deg): 90.00 90.00 90.00
Fractional positions:
Dy  0.0000  0.5000  0.0000
Dy  0.0000  0.0000  0.5000
Ca  0.5000  0.0000  0.0000
Sm  0.5000  0.5000  0.5000

Results
VASP energy in eV per atom: -3.859
Energy above the lowest structure with this stoichiometry in meV/atom: 61
Energy relative to the elements in eV/atom: 0.122

=====

## MgSc2ZnC (GGA-PBE)

Data for an optimized crystal structure of MgSc2ZnC.

a b c (Å): 4.4996 4.4996 4.3873
angles (deg): 90.00 90.00 90.00
Fractional positions:
C  0.0000  0.0000  0.0000
Mg  0.0000  0.0000  0.5000
Zn  0.5000  0.5000  0.5000
Sc  0.0000  0.5000  0.0000
Sc  0.5000  0.0000  0.0000

Results
VASP energy in eV per atom: -5.211
Energy above the lowest structure with this stoichiometry in meV/atom: 0
Energy relative to the elements in eV/atom: -0.260

=====

## Ba2P (GGA-PBE)

Data for an optimized crystal structure of Ba2P.

a b c (Å): 11.6657 11.6657 5.5008
angles (deg): 90.00 90.00 159.78
Fractional positions:
Ba  0.5471  0.4529  0.7500
Ba  0.6720  0.3280  0.2500
Ba  0.3280  0.6720  0.7500
Ba  0.4529  0.5471  0.2500
P  0.9296  0.0704  0.7500
P  0.0704  0.9296  0.2500

Results
VASP energy in eV per atom: -3.793
Energy relative to the elements in eV/atom: -0.708

=====

## Si3WC (GGA-PBE)

Data for an optimized crystal structure of Si3WC.

a b c (Å): 4.7445 4.7445 4.7445
angles (deg): 90.00 90.00 90.00
Last column: magnetic moment on the atom in μB.
Fractional positions:
W  0.0000  0.0000  0.0000  0.09
Si  0.0000  0.0000  0.5000  -0.02
Si  0.0000  0.5000  0.0000  0.03
Si  0.5000  0.0000  0.0000  0.03
C  0.5000  0.5000  0.5000  0.92

Results
VASP energy in eV per atom: -5.862
Energy above the lowest structure with this stoichiometry in meV/atom: 857

=====

## Pm6Y4Zr (GGA-PBE)

Data for an optimized crystal structure of Pm6Y4Zr.

a b c (Å): 8.7908 8.7908 9.2440
angles (deg): 90.00 90.00 90.00
Last column: magnetic moment on the atom in μB.
Fractional positions:
Pm  0.8456  0.6462  0.0000  0.03
Pm  0.6462  0.1544  0.0000  0.03
Pm  0.8538  0.6544  0.5000  0.03
Pm  0.0000  0.0000  0.1757  0.12
Pm  0.1544  0.3538  0.0000  0.03
Pm  0.5000  0.5000  0.6757  0.12
Pm  0.6544  0.1462  0.5000  0.03
Pm  0.3456  0.8538  0.5000  0.03
Pm  0.1462  0.3456  0.5000  0.03
Pm  0.0000  0.0000  0.8243  0.12
Pm  0.5000  0.5000  0.3243  0.12
Pm  0.3538  0.8456  0.0000  0.03
Y  0.8516  0.3516  0.7500  0.01
Y  0.1484  0.6484  0.2500  0.01
Y  0.3516  0.1484  0.2500  0.01
Y  0.1484  0.6484  0.7500  0.01
Y  0.6484  0.8516  0.2500  0.01
Y  0.8516  0.3516  0.2500  0.01
Y  0.6484  0.8516  0.7500  0.01
Y  0.3516  0.1484  0.7500  0.01
Zr  0.5000  0.5000  0.0000  0.42
Zr  0.0000  0.0000  0.5000  0.42

Results
VASP energy in eV per atom: -5.561
Energy relative to the elements in eV/atom: 0.158

=====

## NiBi2Au (GGA-PBE)

Data for an optimized crystal structure of NiBi2Au.

a b c (Å): 4.2080 4.2080 6.6654
angles (deg): 71.60 71.60 60.00
Fractional positions:
Bi  0.0689  0.0689  0.7932
Bi  0.2669  0.2669  0.1993
Au  0.5052  0.5052  0.4844
Ni  0.6590  0.6590  0.0231

Results
VASP energy in eV per atom: -4.135
Energy relative to the elements in eV/atom: 0.070

=====

Number 1: V 33.6 Å³ per atom. Number 2: V 17.8 Å³ per atom. Number 3: V 43.1 Å³ per atom. Number 4: V 21.4 Å³ per atom. Number 5: V 32.5 Å³ per atom. Number 6: V 23.8 Å³ per atom.